First-principles (PBE-GGA) data for Hf2TaGe after structural relaxation, as listed in Alexandria via LeMat-Bulk.

Cell lengths 3.171, 3.171, 9.368 Å; angles 80.26, 80.26, 60.00 degrees
Atoms (fractional coordinates):
Ge  0.000  0.000  0.000
Hf  0.253  0.253  0.241
Hf  0.747  0.747  0.759
Ta  0.500  0.500  0.500

**SG**: R-3m (166)
**Formation energy from the elements**: -1.5 kcal/mol of atoms